Record 1
5
Lattice="-2.936 2.680 -1.456 -2.179 -0.428 3.604 2.686 4.090 2.110" Properties=species:S:1:pos:R:3 comment="RbHfPO2 (PBE, relaxed)" spacegroup="P4/mmm (123)" energy_ev_per_cell=-33.65 magnetic_moment_mub_per_cell=2.0 polymorph_energy_mev_per_atom=0.0 vol_a3_per_fu=95 pbc="T T T"
P 1.343 2.045 1.055
Hf 0.000 0.000 0.000
O -1.090 -0.214 1.802
O -1.468 1.340 -0.728
Rb -1.214 3.170 2.129

---

Record 2
5
Lattice="4.560 0.000 0.000 0.000 4.468 0.000 0.000 0.000 4.560" Properties=species:S:1:pos:R:3 comment="TiBeIr2Rh (PBE, relaxed)" formation_enthalpy_0k_ev_per_atom=1.18 spacegroup="P4/mmm (123)" energy_ev_per_cell=-30.79 magnetic_moment_mub_per_cell=0.0 vol_a3_per_fu=93 pbc="T T T"
Be 2.280 2.234 2.280
Ir 0.000 0.000 2.280
Ir 2.280 0.000 0.000
Rh 0.000 2.234 0.000
Ti 0.000 0.000 0.000

---

Record 3
18
Lattice="7.738 0.569 0.913 2.665 7.286 0.913 4.296 3.244 10.839" Properties=species:S:1:pos:R:3 comment="RbTe5Pd3 (PBE, relaxed)" spacegroup="C2/m (12)" energy_ev_per_cell=-69.47 magnetic_moment_mub_per_cell=0.0 vol_a3_per_fu=277 pbc="T T T"
Rb 3.738 2.823 7.759
Rb 10.961 8.276 4.906
Te 10.192 4.459 4.961
Te 4.234 5.209 0.913
Te 8.278 6.251 1.953
Te 6.061 4.577 5.485
Te 8.638 6.522 7.180
Te 6.421 4.848 10.712
Te 7.079 8.582 4.961
Te 6.169 2.646 0.913
Te 4.507 6.640 7.704
Te 7.620 2.517 7.704
Pd 11.089 8.373 10.829
Pd 8.060 6.086 4.602
Pd 0.000 0.000 0.000
Pd 2.148 1.622 5.420
Pd 3.610 2.726 1.836
Pd 6.639 5.013 8.063

---

Record 4
5
Lattice="-2.812 1.137 4.601 4.145 -2.005 3.029 2.298 5.006 0.168" Properties=species:S:1:pos:R:3 comment="Nd3DyTc (PBE, relaxed)" formation_enthalpy_0k_ev_per_atom=0.22 spacegroup="Pm-3m (221)" energy_ev_per_cell=-28.16 magnetic_moment_mub_per_cell=0.0 vol_a3_per_fu=167 pbc="T T T"
Nd 2.073 -1.002 1.514
Nd 1.149 2.503 0.084
Nd -1.406 0.568 2.301
Tc 0.000 0.000 0.000
Dy 1.816 2.069 3.899